Entry 1:
Below is a relaxed structure of LiTiMnRu2, with properties calculated at the PBE-GGA level.

## Properties
**SG**: P4/mmm
**E**: -34.439 eV per formula unit
**Energy relative to the elements**: 618 meV/atom

CIF file:
```
data_LiTiMnRu2
_chemical_formula_sum 'Li1 Ti1 Mn1 Ru2'
_symmetry_space_group_name_H-M 'P 1'
_symmetry_Int_Tables_number 1
_cell_length_a 4.219
_cell_length_b 3.892
_cell_length_c 4.219
_cell_angle_alpha 90.00
_cell_angle_beta 90.00
_cell_angle_gamma 90.00
loop_
_symmetry_equiv_pos_as_xyz
'x,y,z'
loop_
_atom_site_label
_atom_site_type_symbol
_atom_site_fract_x
_atom_site_fract_y
_atom_site_fract_z
Ru1 Ru 0.000 0.000 0.500
Ru2 Ru 0.500 0.000 0.000
Mn1 Mn 0.000 0.500 0.000
Li1 Li 0.000 0.000 0.000
Ti1 Ti 0.500 0.500 0.500
```

Entry 2:
Below is a relaxed structure of PuGa2Pd5, with properties calculated at the PBE-GGA level.

## Properties
**SG**: Immm
**E**: -50.769 eV per formula unit
**Energy relative to the elements**: -552 meV/atom

CIF file:
```
data_PuGa2Pd5
_chemical_formula_sum 'Pu1 Ga2 Pd5'
_symmetry_space_group_name_H-M 'P 1'
_symmetry_Int_Tables_number 1
_cell_length_a 3.874
_cell_length_b 6.517
_cell_length_c 6.517
_cell_angle_alpha 66.80
_cell_angle_beta 72.71
_cell_angle_gamma 72.71
loop_
_symmetry_equiv_pos_as_xyz
'x,y,z'
loop_
_atom_site_label
_atom_site_type_symbol
_atom_site_fract_x
_atom_site_fract_y
_atom_site_fract_z
Pu1 Pu 0.000 0.000 0.000
Ga1 Ga 0.756 0.744 0.744
Ga2 Ga 0.244 0.256 0.256
Pd1 Pd 0.000 0.500 0.500
Pd2 Pd 0.641 0.558 0.160
Pd3 Pd 0.359 0.442 0.840
Pd4 Pd 0.359 0.840 0.442
Pd5 Pd 0.641 0.160 0.558
```

Entry 3:
Below is a relaxed structure of RbLaGe, with properties calculated at the PBE-GGA level.

## Properties
**SG**: P2_1/m
**E**: -11.716 eV per formula unit
**Energy relative to the elements**: -401 meV/atom

CIF file:
```
data_RbLaGe
_chemical_formula_sum 'Rb2 La2 Ge2'
_symmetry_space_group_name_H-M 'P 1'
_symmetry_Int_Tables_number 1
_cell_length_a 4.483
_cell_length_b 4.108
_cell_length_c 14.497
_cell_angle_alpha 90.00
_cell_angle_beta 98.61
_cell_angle_gamma 90.00
loop_
_symmetry_equiv_pos_as_xyz
'x,y,z'
loop_
_atom_site_label
_atom_site_type_symbol
_atom_site_fract_x
_atom_site_fract_y
_atom_site_fract_z
Rb1 Rb 0.673 0.250 0.353
Rb2 Rb 0.327 0.750 0.647
La1 La 0.946 0.250 0.889
La2 La 0.054 0.750 0.111
Ge1 Ge 0.530 0.250 0.061
Ge2 Ge 0.470 0.750 0.939
```

Entry 4:
Below is a relaxed structure of Ca2Ni3P4Pd, with properties calculated at the PBE-GGA level.

## Properties
**SG**: P-4m2
**E**: -56.197 eV per formula unit
**Energy relative to the elements**: -802 meV/atom

CIF file:
```
data_Ca2Ni3P4Pd
_chemical_formula_sum 'Ca2 Ni3 P4 Pd1'
_symmetry_space_group_name_H-M 'P 1'
_symmetry_Int_Tables_number 1
_cell_length_a 4.050
_cell_length_b 4.050
_cell_length_c 9.322
_cell_angle_alpha 90.00
_cell_angle_beta 90.00
_cell_angle_gamma 90.00
loop_
_symmetry_equiv_pos_as_xyz
'x,y,z'
loop_
_atom_site_label
_atom_site_type_symbol
_atom_site_fract_x
_atom_site_fract_y
_atom_site_fract_z
Ca1 Ca 0.500 0.000 0.242
Ca2 Ca 0.000 0.500 0.758
Ni1 Ni 0.000 0.000 0.500
Ni2 Ni 0.500 0.000 0.886
Ni3 Ni 0.000 0.500 0.114
P1 P 0.500 0.500 0.000
P2 P 0.000 0.000 0.000
P3 P 0.500 0.000 0.643
P4 P 0.000 0.500 0.357
Pd1 Pd 0.500 0.500 0.500
```

Entry 5:
Below is a relaxed structure of K4Rb2Re, with properties calculated at the PBE-GGA level.

## Properties
**SG**: I4/mmm
**E**: -12.379 eV per formula unit
**Energy relative to the elements**: 913 meV/atom

CIF file:
```
data_K4Rb2Re
_chemical_formula_sum 'K4 Rb2 Re1'
_symmetry_space_group_name_H-M 'P 1'
_symmetry_Int_Tables_number 1
_cell_length_a 6.663
_cell_length_b 6.663
_cell_length_c 11.936
_cell_angle_alpha 73.79
_cell_angle_beta 73.79
_cell_angle_gamma 90.00
loop_
_symmetry_equiv_pos_as_xyz
'x,y,z'
loop_
_atom_site_label
_atom_site_type_symbol
_atom_site_fract_x
_atom_site_fract_y
_atom_site_fract_z
Re1 Re 0.000 0.000 0.000
K1 K 0.838 0.838 0.323
K2 K 0.162 0.162 0.677
K3 K 0.000 0.500 0.000
K4 K 0.500 0.000 0.000
Rb1 Rb 0.634 0.634 0.732
Rb2 Rb 0.366 0.366 0.268
```

Entry 6:
Below is a relaxed structure of RbZnI3, with properties calculated at the PBE-GGA level.

## Properties
**SG**: I4/mmm
**E**: -10.978 eV per formula unit
**E_form (uncorrected)**: -0.82 eV per atom

CIF file:
```
data_RbZnI3
_chemical_formula_sum 'Rb2 Zn2 I6'
_symmetry_space_group_name_H-M 'P 1'
_symmetry_Int_Tables_number 1
_cell_length_a 8.393
_cell_length_b 8.393
_cell_length_c 8.357
_cell_angle_alpha 59.86
_cell_angle_beta 59.86
_cell_angle_gamma 90.00
loop_
_symmetry_equiv_pos_as_xyz
'x,y,z'
loop_
_atom_site_label
_atom_site_type_symbol
_atom_site_fract_x
_atom_site_fract_y
_atom_site_fract_z
I1 I 0.283 0.283 0.434
I2 I 0.717 0.717 0.566
I3 I 0.232 0.232 0.000
I4 I 0.768 0.768 0.000
I5 I 0.768 0.232 0.000
I6 I 0.232 0.768 0.000
Zn1 Zn 0.500 0.500 0.000
Zn2 Zn 0.000 0.000 0.000
Rb1 Rb 0.750 0.250 0.500
Rb2 Rb 0.250 0.750 0.500
```

- Which value of E does entry 1 give?
  -34.439 eV per formula unit

What did the second record say?
Below is a relaxed structure of PuGa2Pd5, with properties calculated at the PBE-GGA level.

## Properties
**SG**: Immm
**E**: -50.769 eV per formula unit
**Energy relative to the elements**: -552 meV/atom

CIF file:
```
data_PuGa2Pd5
_chemical_formula_sum 'Pu1 Ga2 Pd5'
_symmetry_space_group_name_H-M 'P 1'
_symmetry_Int_Tables_number 1
_cell_length_a 3.874
_cell_length_b 6.517
_cell_length_c 6.517
_cell_angle_alpha 66.80
_cell_angle_beta 72.71
_cell_angle_gamma 72.71
loop_
_symmetry_equiv_pos_as_xyz
'x,y,z'
loop_
_atom_site_label
_atom_site_type_symbol
_atom_site_fract_x
_atom_site_fract_y
_atom_site_fract_z
Pu1 Pu 0.000 0.000 0.000
Ga1 Ga 0.756 0.744 0.744
Ga2 Ga 0.244 0.256 0.256
Pd1 Pd 0.000 0.500 0.500
Pd2 Pd 0.641 0.558 0.160
Pd3 Pd 0.359 0.442 0.840
Pd4 Pd 0.359 0.840 0.442
Pd5 Pd 0.641 0.160 0.558
```